# 1
Computed, not measured: a relaxed structure of Cs6ICl2O at the PBE level of DFT.

Geometry as extended XYZ:
```
10
Lattice="4.327 2.498 7.932 -4.327 2.498 7.932 0.000 -4.997 7.932" Properties=species:S:1:pos:R:3 pbc="T T T"
Cs -1.179 -2.835 7.932
Cs -3.516 -0.320 12.262
Cs -1.866 2.439 7.932
Cs 2.035 -2.885 12.262
Cs 3.045 0.396 7.932
Cs 1.481 3.205 12.262
I 0.000 0.000 10.811
Cl 0.000 0.000 6.221
Cl 0.000 0.000 17.466
O 0.000 0.000 22.023
```

Output
The uncorrected formation energy comes out at -1.34 eV/atom.

---

# 2
Computed, not measured: a relaxed structure of CsIClO2 at the PBE level of DFT.

Geometry as extended XYZ:
```
5
Lattice="4.328 0.000 0.000 0.000 4.328 0.000 0.000 0.000 8.576" Properties=species:S:1:pos:R:3 pbc="T T T"
Cs 0.000 0.000 0.000
I 0.000 0.000 4.288
Cl 2.164 2.164 4.288
O 0.000 2.164 0.000
O 2.164 0.000 0.000
```

Output
The uncorrected formation energy comes out at 0.48 eV/atom.

---

# 3
Computed, not measured: a relaxed structure of Cs7ICl2O2 at the PBE level of DFT.

Geometry as extended XYZ:
```
12
Lattice="-3.211 11.961 3.634 3.211 -11.961 3.634 3.211 11.961 -3.634" Properties=species:S:1:pos:R:3 pbc="T T T"
Cs 0.000 0.000 0.000
Cs 3.211 -6.808 3.022
Cs 3.211 9.553 -0.252
Cs 0.000 2.408 3.382
Cs 3.211 6.808 3.022
Cs 0.000 9.345 2.741
Cs 0.000 14.577 2.741
I 3.211 0.000 2.508
Cl 3.211 6.131 -0.667
Cl 0.000 5.830 2.967
O 3.211 9.492 2.357
O 0.000 2.469 5.991
```

Output
The uncorrected formation energy comes out at -1.37 eV/atom.

---

# 4
Computed, not measured: a relaxed structure of Cs2I6ClO at the PBE level of DFT.

Geometry as extended XYZ:
```
10
Lattice="-4.083 4.083 6.232 4.083 -4.083 6.232 4.083 4.083 -6.232" Properties=species:S:1:pos:R:3 pbc="T T T"
Cs 4.083 0.000 3.116
Cs 0.000 4.083 3.116
I 0.000 0.000 2.693
I 2.373 2.373 0.000
I 1.710 -1.710 6.232
I -1.710 1.710 6.232
I 1.710 1.710 6.232
I 0.000 0.000 9.771
Cl 0.000 0.000 0.000
O 0.000 0.000 6.232
```

Output
The uncorrected formation energy comes out at -0.43 eV/atom.

---

# 5
Computed, not measured: a relaxed structure of Cs12I4ClO3 at the PBE level of DFT.

Geometry as extended XYZ:
```
20
Lattice="-6.198 6.198 6.198 6.198 -6.198 6.198 6.198 6.198 -6.198" Properties=species:S:1:pos:R:3 pbc="T T T"
Cs 3.439 0.000 0.000
Cs 8.958 0.000 0.000
Cs 6.198 3.099 0.000
Cs 6.198 0.000 3.099
Cs 0.000 3.439 0.000
Cs 0.000 0.000 3.439
Cs 3.099 6.198 0.000
Cs 3.099 0.000 6.198
Cs 0.000 8.958 0.000
Cs 0.000 0.000 8.958
Cs 0.000 6.198 3.099
Cs 0.000 3.099 6.198
I 3.099 3.099 -3.099
I 3.099 -3.099 3.099
I -3.099 3.099 3.099
I 3.099 3.099 3.099
Cl 0.000 0.000 0.000
O 6.198 0.000 0.000
O 0.000 6.198 0.000
O 0.000 0.000 6.198
```

Output
The uncorrected formation energy comes out at -1.23 eV/atom.

---

# 6
Computed, not measured: a relaxed structure of Cs6I2ClO at the PBE level of DFT.

Geometry as extended XYZ:
```
10
Lattice="8.776 0.000 0.000 -4.388 7.601 0.000 0.000 0.000 8.604" Properties=species:S:1:pos:R:3 pbc="T T T"
Cs 0.000 2.340 1.759
Cs -2.362 6.431 1.759
Cs 2.026 1.170 6.845
Cs 2.362 6.431 1.759
Cs 6.750 1.170 6.845
Cs 4.388 5.261 6.845
I 0.000 5.067 7.498
I 4.388 2.533 1.105
Cl 0.000 0.000 4.302
O 0.000 0.000 0.000
```

Output
The uncorrected formation energy comes out at -1.27 eV/atom.

---

# 7
Computed, not measured: a relaxed structure of Cs2OsI2Cl4 at the PBE level of DFT.

Geometry as extended XYZ:
```
9
Lattice="-3.990 3.990 5.208 3.990 -3.990 5.208 3.990 3.990 -5.208" Properties=species:S:1:pos:R:3 pbc="T T T"
Cs 3.990 0.000 2.604
Cs 0.000 3.990 2.604
Os 0.000 0.000 0.000
I 0.000 0.000 2.718
I 0.000 0.000 7.698
Cl 1.667 1.667 0.000
Cl 2.323 -2.323 5.208
Cl -2.323 2.323 5.208
Cl 2.323 2.323 5.208
```

Output
The uncorrected formation energy comes out at -1.01 eV/atom.

---

# 8
Computed, not measured: a relaxed structure of Cs2OsICl6 at the PBE level of DFT.

Geometry as extended XYZ:
```
10
Lattice="-4.059 4.059 5.755 4.059 -4.059 5.755 4.059 4.059 -5.755" Properties=species:S:1:pos:R:3 pbc="T T T"
Cs 4.059 0.000 2.877
Cs 0.000 4.059 2.877
Os 0.000 0.000 0.000
I 0.000 0.000 5.755
Cl 0.000 0.000 2.343
Cl 1.657 1.657 0.000
Cl 2.402 -2.402 5.755
Cl -2.402 2.402 5.755
Cl 0.000 0.000 9.166
Cl 2.402 2.402 5.755
```

Output
The uncorrected formation energy comes out at -0.96 eV/atom.

---

# 9
Computed, not measured: a relaxed structure of Cs2PICl6 at the PBE level of DFT.

Geometry as extended XYZ:
```
20
Lattice="3.386 1.955 19.002 -3.386 1.955 19.002 0.000 -3.910 19.002" Properties=species:S:1:pos:R:3 pbc="T T T"
Cs 0.000 0.000 6.423
Cs 0.000 0.000 16.558
Cs 0.000 0.000 40.448
Cs 0.000 0.000 50.582
P 0.000 0.000 0.000
P 0.000 0.000 28.503
I 0.000 0.000 23.400
I 0.000 0.000 33.606
Cl 0.000 -2.125 20.276
Cl -1.841 1.063 20.276
Cl -1.539 -0.888 27.258
Cl -1.841 -1.063 36.730
Cl 0.000 -1.777 29.748
Cl -1.539 0.888 29.748
Cl 1.539 -0.888 27.258
Cl 0.000 1.777 27.258
Cl 1.841 1.063 20.276
Cl 1.539 0.888 29.748
Cl 1.841 -1.063 36.730
Cl 0.000 2.125 36.730
```

Output
The uncorrected formation energy comes out at -1.02 eV/atom. For the energy relative to the lowest polymorph listed for this composition, the calculation gives 32 meV/atom.

---

# 10
Computed, not measured: a relaxed structure of Cs2PICl6 at the PBE level of DFT.

Geometry as extended XYZ:
```
10
Lattice="0.000 5.559 5.559 5.559 0.000 5.559 5.559 5.559 0.000" Properties=species:S:1:pos:R:3 pbc="T T T"
Cs 2.780 2.780 2.780
Cs 8.339 8.339 8.339
P 0.000 0.000 0.000
I 5.559 5.559 5.559
Cl 5.559 5.559 2.235
Cl 5.559 2.235 5.559
Cl 8.883 5.559 5.559
Cl 2.235 5.559 5.559
Cl 5.559 8.883 5.559
Cl 5.559 5.559 8.883
```

Output
The uncorrected formation energy comes out at -1.05 eV/atom. For the energy relative to the lowest polymorph listed for this composition, the calculation gives 0 meV/atom.

---

# 11
Computed, not measured: a relaxed structure of Cs2PaI5Cl at the PBE level of DFT.

Geometry as extended XYZ:
```
9
Lattice="-4.351 4.351 5.908 4.351 -4.351 5.908 4.351 4.351 -5.908" Properties=species:S:1:pos:R:3 pbc="T T T"
Cs 4.351 0.000 0.000
Cs 0.000 4.351 0.000
Pa 0.000 0.000 2.911
I 2.191 2.191 -2.944
I 2.159 -2.159 2.965
I -2.159 2.159 2.965
I 2.159 2.159 2.965
I 0.000 0.000 5.946
Cl 0.000 0.000 0.312
```

Output
The uncorrected formation energy comes out at -1.41 eV/atom.

---

# 12
Computed, not measured: a relaxed structure of Cs2PaICl6 at the PBE level of DFT.

Geometry as extended XYZ:
```
20
Lattice="3.517 2.031 21.114 -3.517 2.031 21.114 0.000 -4.061 21.114" Properties=species:S:1:pos:R:3 pbc="T T T"
Cs 0.000 0.000 7.324
Cs 0.000 0.000 17.898
Cs 0.000 0.000 45.442
Cs 0.000 0.000 56.016
Pa 0.000 0.000 0.000
Pa 0.000 0.000 31.670
I 0.000 0.000 26.374
I 0.000 0.000 36.967
Cl -1.781 -1.028 30.156
Cl 0.000 -2.015 22.645
Cl -1.745 1.008 22.645
Cl -1.745 -1.008 40.695
Cl 0.000 -2.057 33.184
Cl -1.781 1.028 33.184
Cl 1.781 -1.028 30.156
Cl 0.000 2.057 30.156
Cl 1.745 1.008 22.645
Cl 1.745 -1.008 40.695
Cl 0.000 2.015 40.695
Cl 1.781 1.028 33.184
```

Output
The uncorrected formation energy comes out at -1.82 eV/atom.